KCr2F (PBE+U, optimized geometry); E = -4.236 eV/atom; theoretical density = 2647 kg/m3; offset from the most stable computed form = 479 meV per atom
1.0
0.000 3.704 3.704
3.704 0.000 3.704
3.704 3.704 0.000
K Cr F
1 2 1
direct
0.000 0.000 0.000
0.250 0.250 0.250
0.750 0.750 0.750
0.500 0.500 0.500